No. 1
Computed, not measured: a geometry-optimized DyBeCo4Si2 structure at the PBE level of DFT.

a b c (Å): 3.8379 3.8379 23.5848
angles (deg): 90.00 90.00 120.00
Space group R-3m (No. 166, hexagonal axes)
One atom of each set of equivalent atoms:
Dy 0.0000 0.0000 0.0000
Be 0.0000 0.0000 0.5000
Co 0.0000 0.0000 0.1340
Co 0.0000 0.0000 0.4091
Si 0.0000 0.0000 0.2341

Properties
Its formation energy (no corrections) is -12.08 kcal/mol of atoms. The magnetization is 0.000 μB per atom.

***

No. 2
Computed, not measured: a geometry-optimized NdY2Pd structure at the PBE level of DFT.

a b c (Å): 3.590 3.590 8.672
angles (deg): 90.00 90.00 90.00
Space group P4/mmm (No. 123)
One atom of each set of equivalent atoms:
Nd 0.000 0.000 0.000
Y 0.500 0.500 0.307
Pd 0.000 0.000 0.500

Properties
The calculation puts the formation energy at -0.410 eV per atom. The calculation puts the energy above the most stable polymorph in this dataset at 3.9 kJ per mole of atoms. The magnetization is 0.000 μB per atom.

***

No. 3
Computed, not measured: a geometry-optimized AcMgCdHg structure at the PBE level of DFT.

a b c (Å): 7.645 7.645 7.645
angles (deg): 90.00 90.00 90.00
Space group F-43m (No. 216)
One atom of each set of equivalent atoms:
Ac 0.000 0.000 0.000
Mg 0.000 0.000 0.500
Cd 0.250 0.250 0.250
Hg 0.250 0.250 0.750

Properties
The calculation puts the formation energy at -0.348 eV per atom. The magnetization is 0.000 μB per atom.

***

No. 4
Computed, not measured: a geometry-optimized CoNiIr2 structure at the PBE level of DFT.

a b c (Å): 7.209 7.557 3.748
angles (deg): 90.00 90.00 90.00
Space group Cmcm (No. 63)
One atom of each set of equivalent atoms:
Co 0.000 0.119 0.250
Ni 0.000 0.374 0.750
Ir 0.249 0.126 0.750

Properties
The calculation puts the formation energy at 0.048 eV per atom. The calculation puts the energy above the most stable polymorph in this dataset at 4.2 kJ per mole of atoms. The magnetization is 0.325 μB per atom.

***

No. 5
Computed, not measured: a geometry-optimized LaPmAlRu structure at the PBE level of DFT.

a b c (Å): 7.280 7.280 7.280
angles (deg): 90.00 90.00 90.00
Space group F-43m (No. 216)
One atom of each set of equivalent atoms:
La 0.000 0.000 0.000
Pm 0.000 0.000 0.500
Al 0.250 0.250 0.750
Ru 0.250 0.250 0.250

Properties
The calculation puts the formation energy at -0.191 eV per atom. The magnetization is 0.000 μB per atom.

***

No. 6
Computed, not measured: a geometry-optimized KHo2RuO8 structure at the PBE level of DFT.

a b c (Å): 4.086 5.283 7.127
angles (deg): 89.70 75.10 89.28
Space group P-1 (No. 2)
One atom of each set of equivalent atoms:
K 0.000 0.000 0.000
Ho 0.382 0.520 0.288
Ru 0.000 0.000 0.500
O 0.180 0.495 0.003
O 0.186 0.323 0.584
O 0.210 0.788 0.639
O 0.357 0.953 0.270

Properties
Its formation energy (no corrections) is -43.02 kcal/mol of atoms. The magnetization is 0.073 μB per atom.